Version i
This record from Alexandria via LeMat-Bulk describes a geometry-optimized Pr3Y2Hg2 structure. The functional is PBE.

**Crystal system**: monoclinic

CIF file:
```
data_Pr3Y2Hg2
_chemical_formula_sum 'Pr3 Y2 Hg2'
_cell_length_a 5.510
_cell_length_b 5.503
_cell_length_c 8.710
_cell_angle_alpha 108.39
_cell_angle_beta 90.05
_cell_angle_gamma 120.02
_symmetry_space_group_name_H-M 'P 1'
_symmetry_Int_Tables_number 1
loop_
_symmetry_equiv_pos_as_xyz
'x,y,z'
loop_
_atom_site_label
_atom_site_fract_x
_atom_site_fract_y
_atom_site_fract_z
Pr1 0.500 0.000 0.000
Pr2 0.659 0.319 0.478
Pr3 0.341 0.681 0.522
Y1 0.925 0.851 0.276
Y2 0.075 0.149 0.724
Hg1 0.788 0.578 0.867
Hg2 0.212 0.422 0.133
```


Version ii
This record from Alexandria via LeMat-Bulk describes a geometry-optimized Pr3Y2Hg2 structure. The functional is PBE.

**Crystal system**: orthorhombic

CIF file:
```
data_Pr3Y2Hg2
_chemical_formula_sum 'Pr3 Y2 Hg2'
_cell_length_a 4.994
_cell_length_b 3.583
_cell_length_c 12.040
_cell_angle_alpha 90.00
_cell_angle_beta 78.03
_cell_angle_gamma 90.00
_symmetry_space_group_name_H-M 'P 1'
_symmetry_Int_Tables_number 1
loop_
_symmetry_equiv_pos_as_xyz
'x,y,z'
loop_
_atom_site_label
_atom_site_fract_x
_atom_site_fract_y
_atom_site_fract_z
Pr1 0.858 0.000 0.284
Pr2 0.000 0.000 0.000
Pr3 0.142 0.000 0.716
Y1 0.709 0.500 0.583
Y2 0.291 0.500 0.417
Hg1 0.571 0.500 0.858
Hg2 0.429 0.500 0.142
```


Energy above the most stable structure, in eV/atom: version i 0.000; version ii 0.127